First-principles (SCAN) data for a crystal of Na3TeF relaxed with PBEsol, as listed in the Alexandria database.

Lattice parameters (Å, degrees): 4.666 4.666 4.666 90.00 90.00 90.00
Space group Pm-3m (No. 221)
Inequivalent atoms, fractional coordinates:
Na1 0.000 0.000 0.500 [3 per cell]
Te1 0.500 0.500 0.500 [1 per cell]
F1 0.000 0.000 0.000 [1 per cell]

size of the total moment: 0.0 μB per cell
formation energy from raw total energies: -1814.8 meV/atom

---

First-principles (SCAN) data for a crystal of HfTaCr3 relaxed with PBEsol, as listed in the Alexandria database.

Lattice parameters (Å, degrees): 4.470 4.470 4.470 90.00 90.00 90.00
Space group Pm-3m (No. 221)
Inequivalent atoms, fractional coordinates:
Hf1 0.000 0.000 0.000 [1 per cell]
Ta1 0.500 0.500 0.500 [1 per cell]
Cr1 0.000 0.500 0.500 [3 per cell]

ΔE_f: 1.296 eV/atom
size of the total moment: 6.8 μB per cell

---

First-principles (SCAN) data for a crystal of GeOsI2O relaxed with PBEsol, as listed in the Alexandria database.

Lattice parameters (Å, degrees): 5.353 5.353 3.520 90.00 90.00 90.00
Space group P4/mmm (No. 123)
Inequivalent atoms, fractional coordinates:
Ge1 0.000 0.000 0.000 [1 per cell]
Os1 0.500 0.500 0.500 [1 per cell]
I1 0.000 0.500 0.000 [2 per cell]
O1 0.000 0.000 0.500 [1 per cell]

size of the total moment: 0.0 μB per cell
formation energy from raw total energies: 1013.3 meV/atom

---

First-principles (SCAN) data for a crystal of P2Ir2F relaxed with PBEsol, as listed in the Alexandria database.

Lattice parameters (Å, degrees): 6.986 6.986 2.736 90.00 90.00 90.00
Space group P4/mbm (No. 127)
Inequivalent atoms, fractional coordinates:
P1 0.152 0.348 0.000 [4 per cell]
Ir1 0.141 0.641 0.500 [4 per cell]
F1 0.000 0.000 0.500 [2 per cell]

size of the total moment: 0.0 μB per cell
formation energy from raw total energies: -281.2 meV/atom

---

First-principles (SCAN) data for a crystal of SrMnO3 relaxed with PBEsol, as listed in the Alexandria database.

Lattice parameters (Å, degrees): 5.4206 5.4206 9.0606 90.00 90.00 120.00
Space group P6_3/mmc (No. 194)
Inequivalent atoms, fractional coordinates:
Sr1 0.0000 0.0000 0.0000 [2 per cell]
Sr2 0.3333 0.6667 0.2500 [2 per cell]
Mn1 0.3333 0.6667 0.6135 [4 per cell]
O1 0.0000 0.5000 0.0000 [6 per cell]
O2 0.1802 0.3603 0.7500 [6 per cell]

size of the total moment: 12.1 μB per cell
formation energy from raw total energies: -2699.1 meV/atom

---

First-principles (SCAN) data for a crystal of SrNbCu3 relaxed with PBEsol, as listed in the Alexandria database.

Lattice parameters (Å, degrees): 4.819 4.819 4.819 90.00 90.00 90.00
Space group Pm-3m (No. 221)
Inequivalent atoms, fractional coordinates:
Sr1 0.000 0.000 0.000 [1 per cell]
Nb1 0.500 0.500 0.500 [1 per cell]
Cu1 0.000 0.500 0.500 [3 per cell]

ΔE_f: 0.713 eV/atom
size of the total moment: 0.0 μB per cell

---

First-principles (SCAN) data for a crystal of MoIr2Ru relaxed with PBEsol, as listed in the Alexandria database.

Lattice parameters (Å, degrees): 3.848 3.848 7.617 90.00 90.00 90.00
Space group I-4m2 (No. 119)
Inequivalent atoms, fractional coordinates:
Mo1 0.000 0.000 0.000 [2 per cell]
Ir1 0.000 0.000 0.500 [2 per cell]
Ir2 0.000 0.500 0.250 [2 per cell]
Ru1 0.000 0.500 0.750 [2 per cell]

ΔE_f: -0.234 eV/atom
size of the total moment: 0.0 μB per cell

---

First-principles (SCAN) data for a crystal of LiPt4 relaxed with PBEsol, as listed in the Alexandria database.

Lattice parameters (Å, degrees): 6.065 6.065 3.882 90.00 90.00 90.00
Space group I4/m (No. 87)
Inequivalent atoms, fractional coordinates:
Li1 0.000 0.000 0.000 [2 per cell]
Pt1 0.106 0.701 0.500 [8 per cell]

ΔE_f: -0.305 eV/atom
size of the total moment: 0.0 μB per cell

---

First-principles (SCAN) data for a crystal of SrY2Sc relaxed with PBEsol, as listed in the Alexandria database.

Lattice parameters (Å, degrees): 5.047 5.047 9.953 90.00 90.00 90.00
Space group I4/mmm (No. 139)
Inequivalent atoms, fractional coordinates:
Sr1 0.000 0.000 0.000 [2 per cell]
Y1 0.000 0.500 0.250 [4 per cell]
Sc1 0.000 0.000 0.500 [2 per cell]

ΔE_f: 0.288 eV/atom
size of the total moment: 3.7 μB per cell

---

First-principles (SCAN) data for a crystal of Sr3Tl relaxed with PBEsol, as listed in the Alexandria database.

Lattice parameters (Å, degrees): 4.135 6.140 12.991 90.00 90.00 90.00
Space group Immm (No. 71)
Inequivalent atoms, fractional coordinates:
Sr1 0.000 0.000 0.000 [2 per cell]
Sr2 0.000 0.500 0.202 [4 per cell]
Tl1 0.000 0.000 0.500 [2 per cell]

ΔE_f: -0.293 eV/atom
size of the total moment: 2.2 μB per cell

---

First-principles (SCAN) data for a crystal of Zr2AlAu2 relaxed with PBEsol, as listed in the Alexandria database.

Lattice parameters (Å, degrees): 6.978 6.978 3.949 90.00 90.00 90.00
Space group P4/mbm (No. 127)
Inequivalent atoms, fractional coordinates:
Zr1 0.169 0.331 0.000 [4 per cell]
Al1 0.000 0.000 0.500 [2 per cell]
Au1 0.138 0.638 0.500 [4 per cell]

ΔE_f: -0.796 eV/atom
size of the total moment: 0.0 μB per cell

---

First-principles (SCAN) data for a crystal of LaBeAl relaxed with PBEsol, as listed in the Alexandria database.

Lattice parameters (Å, degrees): 3.184 3.184 11.479 90.00 90.00 90.00
Space group I4mm (No. 107)
Inequivalent atoms, fractional coordinates:
La1 0.000 0.000 0.000 [2 per cell]
Be1 0.000 0.000 0.687 [2 per cell]
Al1 0.000 0.000 0.291 [2 per cell]

ΔE_f: 0.046 eV/atom
size of the total moment: 0.4 μB per cell

---

First-principles (SCAN) data for a crystal of NbSbN2F relaxed with PBEsol, as listed in the Alexandria database.

Lattice parameters (Å, degrees): 4.108 4.108 3.976 90.00 90.00 90.00
Space group P4/mmm (No. 123)
Inequivalent atoms, fractional coordinates:
Nb1 0.000 0.000 0.000 [1 per cell]
Sb1 0.500 0.500 0.500 [1 per cell]
N1 0.000 0.500 0.500 [2 per cell]
F1 0.500 0.500 0.000 [1 per cell]

size of the total moment: 2.6 μB per cell
formation energy from raw total energies: 457.0 meV/atom

---

First-principles (SCAN) data for a crystal of CaInW3 relaxed with PBEsol, as listed in the Alexandria database.

Lattice parameters (Å, degrees): 4.619 4.619 4.619 90.00 90.00 90.00
Space group Pm-3m (No. 221)
Inequivalent atoms, fractional coordinates:
Ca1 0.000 0.000 0.000 [1 per cell]
In1 0.500 0.500 0.500 [1 per cell]
W1 0.000 0.000 0.500 [3 per cell]

ΔE_f: 3.246 eV/atom
size of the total moment: 0.0 μB per cell

---

First-principles (SCAN) data for a crystal of Ho5Ge3C relaxed with PBEsol, as listed in the Alexandria database.

Lattice parameters (Å, degrees): 8.3668 8.3668 6.3033 90.00 90.00 120.00
Space group P6_3/mcm (No. 193)
Inequivalent atoms, fractional coordinates:
Ho1 0.0000 0.2220 0.2500 [6 per cell]
Ho2 0.3333 0.6667 0.0000 [4 per cell]
Ge1 0.0000 0.4081 0.7500 [6 per cell]
C1 0.0000 0.0000 0.0000 [2 per cell]

ΔE_f: -0.830 eV/atom
size of the total moment: 0.0 μB per cell

---

First-principles (SCAN) data for a crystal of Cs2AlHg relaxed with PBEsol, as listed in the Alexandria database.

Lattice parameters (Å, degrees): 13.858 13.858 4.971 90.00 90.00 90.00
Space group I-42d (No. 122)
Inequivalent atoms, fractional coordinates:
Cs1 0.075 0.250 0.125 [8 per cell]
Al1 0.000 0.000 0.500 [4 per cell]
Hg1 0.000 0.000 0.000 [4 per cell]

ΔE_f: 0.009 eV/atom
size of the total moment: 0.0 μB per cell

---

First-principles (SCAN) data for a crystal of LiCr2Ru relaxed with PBEsol, as listed in the Alexandria database.

Lattice parameters (Å, degrees): 4.746 8.074 2.479 90.00 90.00 90.00
Space group Cmmm (No. 65)
Inequivalent atoms, fractional coordinates:
Li1 0.000 0.000 0.000 [2 per cell]
Cr1 0.250 0.250 0.500 [4 per cell]
Ru1 0.000 0.500 0.000 [2 per cell]

ΔE_f: 0.414 eV/atom
size of the total moment: 0.0 μB per cell

---

First-principles (SCAN) data for a crystal of Eu3Mg relaxed with PBEsol, as listed in the Alexandria database.

Lattice parameters (Å, degrees): 7.3101 7.3101 5.9032 90.00 90.00 120.00
Space group P6_3/mmc (No. 194)
Inequivalent atoms, fractional coordinates:
Eu1 0.1705 0.3410 0.2500 [6 per cell]
Mg1 0.3333 0.6667 0.7500 [2 per cell]

ΔE_f: -0.050 eV/atom
size of the total moment: 48.2 μB per cell

---

First-principles (SCAN) data for a crystal of MnIn relaxed with PBEsol, as listed in the Alexandria database.

Lattice parameters (Å, degrees): 6.472 6.472 6.472 90.00 90.00 90.00
Space group Fd-3m (No. 227, origin choice 2)
Inequivalent atoms, fractional coordinates:
Mn1 0.125 0.125 0.125 [8 per cell]
In1 0.125 0.125 0.625 [8 per cell]

ΔE_f: 0.260 eV/atom
size of the total moment: 28.7 μB per cell

---

First-principles (SCAN) data for a crystal of LiSbPb2 relaxed with PBEsol, as listed in the Alexandria database.

Lattice parameters (Å, degrees): 4.379 4.964 9.697 90.00 90.00 90.00
Space group Imm2 (No. 44)
Inequivalent atoms, fractional coordinates:
Li1 0.000 0.000 0.000 [2 per cell]
Sb1 0.000 0.500 0.275 [2 per cell]
Pb1 0.000 0.000 0.519 [2 per cell]
Pb2 0.000 0.500 0.756 [2 per cell]

size of the total moment: 0.0 μB per cell
formation energy from raw total energies: -146.3 meV/atom